K2USiS6 | PBE-GGA | optimized geometry

a = 6.8781 Å, b = 6.8779 Å, c = 6.8645 Å
α = 59.94°, β = 59.94°, γ = 60.00°
Closest atoms and distances in Å follow each position.
Atoms (fractional coordinates):
K  0.0664  0.0664  0.8007  12 S 3.29-3.59
S  0.5326  0.5753  0.8139  1 Si 2.32, 1 U 2.55
K  0.5659  0.5659  0.3022  12 S 3.29-3.59
S  0.0997  0.0570  0.2891  1 Si 2.32, 1 U 2.55
U  0.8162  0.8162  0.5515  6 S 2.55
S  0.0569  0.5542  0.2890  1 Si 2.32, 1 U 2.55
S  0.5541  0.0997  0.2892  1 Si 2.32, 1 U 2.55
S  0.5754  0.0781  0.8140  1 Si 2.32, 1 U 2.55
Si  0.3162  0.3162  0.0515  6 S 2.32
S  0.0783  0.5326  0.8138  1 Si 2.32, 1 U 2.55

Results
V   22.94 Å³ per atom
ρ   3.9 g/cm3
Formation energy without anion corrections   -0.9234 eV per atom